No. 1
The following is a DFT calculation (PBE) of crystalline LaTiAl2C at its relaxed geometry.

Calculated values
* crystal system: tetragonal
* formation energy from the elements: 8.2 eV per formula unit

Lattice parameters (Å, degrees): 4.981 4.981 5.187 90.00 90.00 90.00
Space group P4/mmm (No. 123)
Inequivalent atoms, fractional coordinates:
La  0.000  0.000  0.000
Ti  0.000  0.000  0.500
Al  0.000  0.500  0.500
C  0.500  0.500  0.000


No. 2
The following is a DFT calculation (PBE) of crystalline Ag3ClO at its relaxed geometry.

Calculated values
* crystal system: monoclinic
* energy relative to the lowest polymorph listed for this composition: 0 meV per atom
* energy relative to the elements, uncorrected: -0.1554 eV per atom

Lattice parameters (Å, degrees): 12.329 4.228 7.976 90.00 100.00 90.00
Space group C2/m (No. 12)
Inequivalent atoms, fractional coordinates:
Ag  0.103  0.000  0.193
Ag  0.118  0.500  0.922
Ag  0.226  0.000  0.739
Cl  0.121  0.500  0.415
O  0.096  0.000  0.887


No. 3
The following is a DFT calculation (PBE) of crystalline Ce2Ho2Co3 at its relaxed geometry.

Calculated values
* crystal system: monoclinic
* formation energy from the elements: -0.9 eV per formula unit
* energy relative to the lowest polymorph listed for this composition: 95 meV per atom

Lattice parameters (Å, degrees): 12.428 3.788 6.811 90.00 99.49 90.00
Space group C2/m (No. 12)
Inequivalent atoms, fractional coordinates:
Ce  0.128  0.000  0.389
Ho  0.131  0.500  0.869
Co  0.000  0.500  0.500
Co  0.234  0.500  0.252


No. 4
The following is a DFT calculation (PBE) of crystalline Ba3Cu3Pd2 at its relaxed geometry.

Calculated values
* crystal system: orthorhombic
* formation energy from the elements: -2.1 eV per formula unit

Lattice parameters (Å, degrees): 4.504 11.760 16.741 90.00 90.00 90.00
Space group Cmcm (No. 63)
Inequivalent atoms, fractional coordinates:
Ba  0.000  0.068  0.250
Ba  0.000  0.356  0.087
Cu  0.000  0.071  0.054
Cu  0.000  0.232  0.750
Pd  0.000  0.354  0.616


No. 5
The following is a DFT calculation (PBE) of crystalline Li2ZrCl at its relaxed geometry.

Calculated values
* crystal system: tetragonal
* energy relative to the lowest polymorph listed for this composition: 711 meV per atom
* energy relative to the elements, uncorrected: 0.1157 eV per atom

Lattice parameters (Å, degrees): 4.879 4.879 3.345 90.00 90.00 90.00
Space group P4/mmm (No. 123)
Inequivalent atoms, fractional coordinates:
Li  0.000  0.500  0.000
Zr  0.000  0.000  0.500
Cl  0.500  0.500  0.500


No. 6
The following is a DFT calculation (PBE) of crystalline NdEr2Pd9 at its relaxed geometry.

Calculated values
* crystal system: tetragonal
* formation energy from the elements: -10.2 eV per formula unit

Lattice parameters (Å, degrees): 4.144 4.144 12.375 90.00 90.00 90.00
Space group P4/mmm (No. 123)
Inequivalent atoms, fractional coordinates:
Nd  0.000  0.000  0.000
Er  0.000  0.000  0.337
Pd  0.000  0.500  0.173
Pd  0.000  0.500  0.500
Pd  0.500  0.500  0.000
Pd  0.500  0.500  0.335


No. 7
The following is a DFT calculation (PBE) of crystalline SmEr2Hf at its relaxed geometry.

Calculated values
* crystal system: tetragonal
* formation energy from the elements: 0.6 eV per formula unit
* energy relative to the lowest polymorph listed for this composition: 43 meV per atom

Lattice parameters (Å, degrees): 4.836 4.836 4.861 90.00 90.00 90.00
Space group P4/mmm (No. 123)
Inequivalent atoms, fractional coordinates:
Sm  0.000  0.000  0.000
Er  0.000  0.500  0.500
Hf  0.500  0.500  0.000


No. 8
The following is a DFT calculation (PBE) of crystalline NbCrFe3 at its relaxed geometry.

Calculated values
* crystal system: cubic
* formation energy from the elements: 10.1 eV per formula unit
* energy relative to the lowest polymorph listed for this composition: 1075 meV per atom

Lattice parameters (Å, degrees): 4.359 4.359 4.359 90.00 90.00 90.00
Space group Pm-3m (No. 221)
Inequivalent atoms, fractional coordinates:
Nb  0.000  0.000  0.000
Cr  0.500  0.500  0.500
Fe  0.000  0.000  0.500


No. 9
The following is a DFT calculation (PBE) of crystalline Mg6TlNi at its relaxed geometry.

Calculated values
* crystal system: tetragonal
* formation energy from the elements: 0.2 eV per formula unit

Lattice parameters (Å, degrees): 4.558 4.558 16.030 90.00 90.00 90.00
Space group I4/mmm (No. 139)
Inequivalent atoms, fractional coordinates:
Mg  0.000  0.000  0.248
Mg  0.000  0.500  0.111
Tl  0.000  0.000  0.500
Ni  0.000  0.000  0.000


No. 10
The following is a DFT calculation (PBE) of crystalline K2Cd2H at its relaxed geometry.

Calculated values
* crystal system: tetragonal
* energy relative to the lowest polymorph listed for this composition: 24 meV per atom

Lattice parameters (Å, degrees): 8.236 8.236 5.196 90.00 90.00 90.00
Space group P4/mbm (No. 127)
Inequivalent atoms, fractional coordinates:
K  0.179  0.321  0.000
Cd  0.130  0.630  0.500
H  0.000  0.000  0.500


No. 11
The following is a DFT calculation (PBE) of crystalline Cr2RuW at its relaxed geometry.

Calculated values
* crystal system: orthorhombic
* formation energy from the elements: 0.4 eV per formula unit
* energy relative to the lowest polymorph listed for this composition: 19 meV per atom

Lattice parameters (Å, degrees): 2.956 4.292 8.452 90.00 90.00 90.00
Space group Imm2 (No. 44)
Inequivalent atoms, fractional coordinates:
Cr  0.000  0.000  0.000
Cr  0.000  0.500  0.281
Ru  0.000  0.500  0.759
W  0.000  0.000  0.526


No. 12
The following is a DFT calculation (PBE) of crystalline CaAgBPb2 at its relaxed geometry.

Calculated values
* crystal system: tetragonal
* formation energy from the elements: 5.6 eV per formula unit

Lattice parameters (Å, degrees): 5.984 5.984 6.564 90.00 90.00 90.00
Space group P4/mmm (No. 123)
Inequivalent atoms, fractional coordinates:
Ca  0.000  0.000  0.000
Ag  0.500  0.500  0.000
B  0.000  0.000  0.500
Pb  0.000  0.500  0.500